Computed, not measured: an optimized crystal structure of OsRuPt2 at the PBEsol level of DFT.

The structure in POSCAR format:
```
OsRuPt2
1.0
-2.4104 2.1915 2.0232
0.0673 -2.5607 2.8538
4.1769 2.0284 -0.8550
Os Pt Ru
1 2 1
Cartesian
1.5363 -0.3584 2.2187
0.0000 0.0000 0.0000
0.2975 2.0176 1.8033
-1.1716 -0.1846 2.4385
```

## Properties
Relative energy among the computed polymorphs, eV per atom: 0.081
Calculated formation energy, eV/f.u.: 0.3
Density of states at the Fermi level, states/eV/f.u.: 3.92
Symmetry: I-4m2, No. 119
Total energy, eV per cell: -36.0